Record 1
Zn3Fe (GGA-PBE, relaxed); space group = Pm-3n; size of the total moment = 0.584 μB/atom; VASP energy = -22.917 eV/cell; ΔH_f (0 K) = 0.206 eV/atom
1.0
4.8276 0.0000 0.0000
0.0000 4.8276 0.0000
0.0000 0.0000 4.8276
Zn Fe
6 2
direct
0.0000 0.2500 0.5000
0.0000 0.7500 0.5000
0.2500 0.5000 0.0000
0.5000 0.0000 0.2500
0.5000 0.0000 0.7500
0.7500 0.5000 0.0000
0.0000 0.0000 0.0000
0.5000 0.5000 0.5000

=====

Record 2
NbI (GGA-PBE, relaxed); E_form (uncorrected) = 0.237 eV/atom; space group = P6_3/m; size of the total moment = 0.000 μB/atom; VASP energy = -66.878 eV/cell
1.0
10.9316 0.0000 0.0000
-5.4658 9.4670 0.0000
0.0000 0.0000 3.4247
Nb I
6 6
direct
0.1900 0.5329 0.2500
0.3428 0.8100 0.2500
0.4672 0.6572 0.2500
0.5329 0.3428 0.7500
0.6572 0.1900 0.7500
0.8100 0.4672 0.7500
0.0284 0.6825 0.2500
0.3175 0.3459 0.2500
0.3459 0.0284 0.7500
0.6541 0.9716 0.2500
0.6825 0.6541 0.7500
0.9716 0.3175 0.7500

=====

Record 3
DyIn2Hg8 (GGA-PBE, relaxed); space group = C2/m; size of the total moment = 0.000 μB/atom; VASP energy = -13.687 eV/cell; ΔH_f (0 K) = -0.109 eV/atom
1.0
8.3487 -2.3824 0.0000
8.3487 2.3824 0.0000
-2.3356 0.0000 7.0009
Dy In Hg
1 2 8
direct
0.0000 0.0000 0.0000
0.2740 0.2740 0.3539
0.7260 0.7260 0.6461
0.0918 0.0918 0.4531
0.1742 0.1742 0.9026
0.3578 0.3578 0.8208
0.4624 0.4624 0.2664
0.5376 0.5376 0.7336
0.6422 0.6422 0.1792
0.8258 0.8258 0.0974
0.9082 0.9082 0.5469

=====

Record 4
AlCdFe2 (GGA-PBE, relaxed); space group = P4/mmm; size of the total moment = 1.092 μB/atom; VASP energy = -21.342 eV/cell; ΔH_f (0 K) = 0.060 eV/atom
1.0
2.7496 0.0000 0.0000
0.0000 2.7496 0.0000
0.0000 0.0000 7.5787
Al Cd Fe
1 1 2
direct
0.0000 0.0000 0.0000
0.0000 0.0000 0.5000
0.5000 0.5000 0.2224
0.5000 0.5000 0.7776

=====

Record 5
TaPF2 (GGA-PBE, relaxed); E_form (uncorrected) = -1.214 eV/atom; space group = I-42d; size of the total moment = 0.000 μB/atom; VASP energy = -51.725 eV/cell
1.0
-1.8270 1.8270 7.8261
1.8270 -1.8270 7.8261
1.8270 1.8270 -7.8261
Ta P F
2 2 4
direct
0.0000 0.0000 0.0000
0.7500 0.2500 0.5000
0.2500 0.7500 0.5000
0.5000 0.5000 0.0000
0.0560 0.6250 0.9310
0.3750 0.3060 0.4310
0.6940 0.1250 0.0690
0.8750 0.9440 0.5690

=====

Record 6
NbCdCu (GGA-PBE, relaxed); space group = I4mm; size of the total moment = 0.000 μB/atom; VASP energy = -14.766 eV/cell; ΔH_f (0 K) = 0.105 eV/atom
1.0
-1.4576 1.4576 5.9798
1.4576 -1.4576 5.9798
1.4576 1.4576 -5.9798
Nb Cd Cu
1 1 1
direct
0.0000 0.0000 0.0000
0.3079 0.3079 0.0000
0.6487 0.6487 0.0000

=====

Record 7
Li2LaAu2 (GGA-PBE, relaxed); space group = P4/mbm; size of the total moment = 0.000 μB/atom; VASP energy = -34.906 eV/cell; ΔH_f (0 K) = -0.429 eV/atom
1.0
7.7705 0.0000 0.0000
0.0000 7.7705 0.0000
0.0000 0.0000 3.5482
Li La Au
4 2 4
direct
0.1399 0.3601 0.0000
0.3601 0.8601 0.0000
0.6399 0.1399 0.0000
0.8601 0.6399 0.0000
0.0000 0.0000 0.5000
0.5000 0.5000 0.5000
0.1364 0.6364 0.5000
0.3636 0.1364 0.5000
0.6364 0.8636 0.5000
0.8636 0.3636 0.5000

=====

Record 8
Al2PtBr (GGA-PBE, relaxed); E_form (uncorrected) = -0.086 eV/atom; space group = Immm; size of the total moment = 0.000 μB/atom; VASP energy = -15.543 eV/cell
1.0
-1.8000 3.0610 3.8979
1.8000 -3.0610 3.8979
1.8000 3.0610 -3.8979
Al Pt Br
2 1 1
direct
0.2185 0.2185 0.0000
0.7815 0.7815 0.0000
0.0000 0.5000 0.5000
0.5000 0.0000 0.5000